Record 1
! LiHo2Zn3 | Alexandria via LeMat-Bulk | PBE-GGA | optimized geometry; values from VASP
! **Offset from the most stable computed form**: 0.000 eV per atom
! **Space group**: No. 164
! **Crystal system**: trigonal
&SYSTEM
  ibrav = 0, nat = 12, ntyp = 3
/
ATOMIC_SPECIES
Li 6.94 Li.upf
Ho 164.93 Ho.upf
Zn 65.41 Zn.upf
ATOMIC_POSITIONS crystal
Li 0.667 0.333 0.336
Ho 0.333 0.667 0.180
Ho 0.000 0.000 0.000
Zn 0.000 0.000 0.745
Zn 0.667 0.333 0.093
Li 0.333 0.667 0.664
Zn 0.667 0.333 0.572
Ho 0.000 0.000 0.500
Ho 0.667 0.333 0.820
Zn 0.333 0.667 0.428
Zn 0.000 0.000 0.255
Zn 0.333 0.667 0.907
CELL_PARAMETERS angstrom
-2.924 3.663 1.347
-0.965 -2.525 -4.060
-6.624 -7.607 6.305



Record 2
! Sm2SnHg5 | Alexandria via LeMat-Bulk | PBE-GGA | optimized geometry; values from VASP
! **Space group**: No. 55
! **Crystal system**: orthorhombic
&SYSTEM
  ibrav = 0, nat = 16, ntyp = 3
/
ATOMIC_SPECIES
Hg 200.59 Hg.upf
Sn 118.71 Sn.upf
Sm 150.36 Sm.upf
ATOMIC_POSITIONS crystal
Hg 0.500 0.767 0.129
Hg 0.500 0.267 0.371
Sn 0.000 0.500 0.000
Hg 0.000 0.023 0.250
Sm 0.500 0.769 0.379
Hg 0.000 0.500 0.500
Hg 0.000 0.523 0.250
Hg 0.500 0.233 0.871
Hg 0.000 0.000 0.000
Hg 0.000 0.977 0.750
Hg 0.000 0.477 0.750
Hg 0.500 0.733 0.629
Sm 0.500 0.269 0.121
Sm 0.500 0.231 0.621
Sn 0.000 0.000 0.500
Sm 0.500 0.731 0.879
CELL_PARAMETERS angstrom
4.551 0.000 0.000
0.000 6.665 0.000
0.000 0.000 13.382



Number 1: formation enthalpy at 0 K -0.272 eV per atom. Number 2: formation enthalpy at 0 K -0.403 eV per atom.